Computed, not measured: a relaxed Y3BiTe3 crystal at the PBE level of DFT.

a b c (Å): 11.8188 11.8188 11.8188
angles (deg): 38.57 38.57 38.57
Closest atoms and distances in Å follow each position.
Element x y z (fractional)
Y: 0.0634 0.4370 0.8104  3 Te 2.92-3.04, 2 Bi 3.21
Y: 0.1896 0.9366 0.5630  3 Te 2.92-3.04, 2 Bi 3.21
Y: 0.4370 0.8104 0.0634  3 Te 2.92-3.04, 2 Bi 3.21
Y: 0.5630 0.1896 0.9366  3 Te 2.92-3.04, 2 Bi 3.21
Y: 0.8104 0.0634 0.4370  3 Te 2.92-3.04, 2 Bi 3.21
Y: 0.9366 0.5630 0.1896  3 Te 2.92-3.04, 2 Bi 3.21
Bi: 0.1667 0.1667 0.1667  6 Y 3.21
Bi: 0.8333 0.8333 0.8333  6 Y 3.21
Te: 0.0925 0.6940 0.3931  3 Y 2.92-3.04
Te: 0.3060 0.6069 0.9075  3 Y 2.92-3.04
Te: 0.3931 0.0925 0.6940  3 Y 2.92-3.04
Te: 0.6069 0.9075 0.3060  3 Y 2.92-3.04
Te: 0.6940 0.3931 0.0925  3 Y 2.92-3.04
Te: 0.9075 0.3060 0.6069  3 Y 2.92-3.04

- E_form (uncorrected) (eV/atom) = -1.05
- magnetic moment (Bohr magnetons per cell) = 0.00
- volume (Å³/cell) = 576.5